Record 1
First-principles (PBE) data for an optimized crystal structure of CaAg2Sb, as listed in Alexandria via LeMat-Bulk.

The space group is I4/mmm (No. 139) and the conventional cell measures 4.5574, 4.5574 and 8.8061 Å, with angles of 90.00, 90.00 and 90.00 degrees. The distinct sites, in fractional coordinates, are Ca at (0.0000, 0.0000, 0.0000), Ag at (0.0000, 0.5000, 0.2500) and Sb at (0.0000, 0.0000, 0.5000).

For the total energy, the calculation gives -3.293 eV per atom. The value obtained for the density of states at the Fermi level is 0.334 states/eV/atom.

---

Record 2
First-principles (PBE) data for an optimized crystal structure of Ba3Ga11, as listed in Alexandria via LeMat-Bulk.

The space group is Immm (No. 71) and the conventional cell measures 4.5920, 10.5615 and 13.8219 Å, with angles of 90.00, 90.00 and 90.00 degrees. The distinct sites, in fractional coordinates, are Ba at (0.0000, 0.0000, 0.0000), Ba at (0.0000, 0.0000, 0.3183), Ga at (0.0000, 0.2204, 0.5000), Ga at (0.0000, 0.2689, 0.1518), Ga at (0.0000, 0.3686, 0.3370) and Ga at (0.0000, 0.5000, 0.0000).

For the total energy, the calculation gives -3.146 eV per atom. The value obtained for the density of states at the Fermi level is 0.389 states/eV/atom. The calculation puts the formation energy at -0.356 eV per atom.

---

Record 3
First-principles (PBE) data for an optimized crystal structure of LaRuBr2, as listed in Alexandria via LeMat-Bulk.

The space group is Immm (No. 71) and the conventional cell measures 3.8160, 4.5276 and 14.2106 Å, with angles of 90.00, 90.00 and 90.00 degrees. The distinct sites, in fractional coordinates, are La at (0.0000, 0.0000, 0.0000), Ru at (0.0000, 0.0000, 0.5000) and Br at (0.0000, 0.5000, 0.1428).

For the total energy, the calculation gives -5.069 eV per atom. As for the energy above the most stable polymorph in this dataset: 71 meV/atom. The value obtained for the density of states at the Fermi level is 0.408 states/eV/atom.